[1]
A plane-wave DFT calculation with meta-GGA SCAN was carried out for a PBEsol-optimized structure of KHfNF2.

Summary:
Space group = P4/mmm (123)
Formation energy without anion corrections = -2.50 eV/atom
Magnetic moment = 0.00 μB/cell

Cell lengths 4.2425, 4.2425, 4.1148 Å; angles 90.00, 90.00, 90.00 degrees
Closest atoms and distances in Å follow each position.
Sites, in units of the cell vectors:
K 0.0000 0.0000 0.0000  8 F 2.96, 4 N 3.00
Hf 0.5000 0.5000 0.5000  2 N 2.06, 4 F 2.12
N 0.5000 0.5000 0.0000  2 Hf 2.06
F 0.0000 0.5000 0.5000  2 Hf 2.12
F 0.5000 0.0000 0.5000  2 Hf 2.12


[2]
A plane-wave DFT calculation with meta-GGA SCAN was carried out for a PBEsol-optimized structure of KHfOF2.

Summary:
Space group = P4/mmm (123)
Formation energy without anion corrections = -2.98 eV/atom
Magnetic moment = 0.00 μB/cell
Offset from the most stable computed form = 0.0 meV per atom

Cell lengths 4.2898, 4.2898, 4.0575 Å; angles 90.00, 90.00, 90.00 degrees
Closest atoms and distances in Å follow each position.
Sites, in units of the cell vectors:
K 0.0000 0.0000 0.0000  8 F 2.95, 4 O 3.03
Hf 0.5000 0.5000 0.5000  2 O 2.03, 4 F 2.14
O 0.5000 0.5000 0.0000  2 Hf 2.03
F 0.0000 0.5000 0.5000  2 Hf 2.14
F 0.5000 0.0000 0.5000  2 Hf 2.14


[3]
A plane-wave DFT calculation with meta-GGA SCAN was carried out for a PBEsol-optimized structure of KHfO2F.

Summary:
Space group = P4/mmm (123)
Formation energy without anion corrections = -0.16 eV/atom
Magnetic moment = 0.05 μB/cell

Cell lengths 4.3069, 4.3069, 4.1315 Å; angles 90.00, 90.00, 90.00 degrees
Closest atoms and distances in Å follow each position.
Sites, in units of the cell vectors:
K 0.0000 0.0000 0.0000  2 F 2.07, 4 O 2.15
Hf 0.5000 0.5000 0.5000  8 O 2.98, 4 F 3.05
O 0.0000 0.5000 0.0000  2 K 2.15
O 0.5000 0.0000 0.0000  2 K 2.15
F 0.0000 0.0000 0.5000  2 K 2.07


- Among the records above, which one has the highest magnetic moment?
  KHfO2F


- What is the formula in the first record?
  KHfNF2


Repeat the third record exactly.
A plane-wave DFT calculation with meta-GGA SCAN was carried out for a PBEsol-optimized structure of KHfO2F.

Summary:
Space group = P4/mmm (123)
Formation energy without anion corrections = -0.16 eV/atom
Magnetic moment = 0.05 μB/cell

Cell lengths 4.3069, 4.3069, 4.1315 Å; angles 90.00, 90.00, 90.00 degrees
Closest atoms and distances in Å follow each position.
Sites, in units of the cell vectors:
K 0.0000 0.0000 0.0000  2 F 2.07, 4 O 2.15
Hf 0.5000 0.5000 0.5000  8 O 2.98, 4 F 3.05
O 0.0000 0.5000 0.0000  2 K 2.15
O 0.5000 0.0000 0.0000  2 K 2.15
F 0.0000 0.0000 0.5000  2 K 2.07


- Which formula does entry 2 have?
  KHfOF2